1.
The following is a SCAN calculation of a PBEsol-optimized structure of AsIrF2, from Alexandria via LeMat-Bulk.

E_form (uncorrected) ... -0.2729 eV per atom
M_tot ... 0.6 μB per formula unit
Offset from the most stable computed form ... 0.426 eV per atom

Cell: 7.211 7.211 4.684 Å, 90.00 90.00 90.00°
Space group I-42d (No. 122)
Symmetry-distinct sites (fractional):
1 As 0.000 0.000 0.000
2 Ir 0.000 0.000 0.500
3 F 0.147 0.750 0.625


2.
The following is a SCAN calculation of a PBEsol-optimized structure of AsIrF2, from Alexandria via LeMat-Bulk.

E_form (uncorrected) ... -0.6986 eV per atom
M_tot ... 0.0 μB per formula unit
Offset from the most stable computed form ... 0.000 eV per atom

Cell: 2.7076 2.7076 24.2536 Å, 90.00 90.00 120.00°
Space group R-3m (No. 166, hexagonal axes)
Symmetry-distinct sites (fractional):
1 As 0.0000 0.0000 0.0000
2 Ir 0.0000 0.0000 0.5000
3 F 0.0000 0.0000 0.4185


3.
The following is a SCAN calculation of a PBEsol-optimized structure of AsIrO2F, from Alexandria via LeMat-Bulk.

E_form (uncorrected) ... -0.0568 eV per atom
M_tot ... 0.0 μB per formula unit

Cell: 3.888 3.888 4.161 Å, 90.00 90.00 90.00°
Space group P4/mmm (No. 123)
Symmetry-distinct sites (fractional):
1 As 0.000 0.000 0.000
2 Ir 0.500 0.500 0.500
3 O 0.000 0.500 0.500
4 F 0.500 0.500 0.000


4.
The following is a SCAN calculation of a PBEsol-optimized structure of AsIrSe2F, from Alexandria via LeMat-Bulk.

E_form (uncorrected) ... 1.0275 eV per atom
M_tot ... 0.0 μB per formula unit

Cell: 4.609 4.609 4.028 Å, 90.00 90.00 90.00°
Space group P4/mmm (No. 123)
Symmetry-distinct sites (fractional):
1 As 0.000 0.000 0.000
2 Ir 0.500 0.500 0.000
3 Se 0.000 0.500 0.500
4 F 0.000 0.000 0.500


5.
The following is a SCAN calculation of a PBEsol-optimized structure of Sr2AsIrF, from Alexandria via LeMat-Bulk.

E_form (uncorrected) ... -0.7431 eV per atom
M_tot ... 0.0 μB per formula unit

Cell: 4.851 4.851 4.574 Å, 90.00 90.00 90.00°
Space group P4/mmm (No. 123)
Symmetry-distinct sites (fractional):
1 Sr 0.000 0.500 0.000
2 As 0.000 0.000 0.500
3 Ir 0.500 0.500 0.500
4 F 0.000 0.000 0.000


6.
The following is a SCAN calculation of a PBEsol-optimized structure of KAs2F7, from Alexandria via LeMat-Bulk.

E_form (uncorrected) ... -2.4117 eV per atom
M_tot ... 0.0 μB per formula unit

Cell: 10.736 7.256 8.620 Å, 90.00 110.55 90.00°
Space group P2_1/c (No. 14)
Symmetry-distinct sites (fractional):
1 K 0.076 0.158 0.226
2 As 0.234 0.688 0.166
3 As 0.404 0.179 0.131
4 F 0.071 0.674 0.601
5 F 0.138 0.506 0.211
6 F 0.185 0.632 0.951
7 F 0.230 0.217 0.023
8 F 0.372 0.131 0.315
9 F 0.379 0.504 0.200
10 F 0.379 0.558 0.562


7.
The following is a SCAN calculation of a PBEsol-optimized structure of KMgAs3F18, from Alexandria via LeMat-Bulk.

E_form (uncorrected) ... -2.5263 eV per atom
M_tot ... 0.0 μB per formula unit

Cell: 10.385 13.944 9.514 Å, 90.00 90.00 90.00°
Space group Pnma (No. 62)
Symmetry-distinct sites (fractional):
1 K 0.076 0.250 0.029
2 Mg 0.000 0.000 0.500
3 As 0.022 0.750 0.394
4 As 0.205 0.550 0.804
5 F 0.008 0.250 0.426
6 F 0.025 0.620 0.393
7 F 0.054 0.750 0.215
8 F 0.079 0.555 0.673
9 F 0.121 0.634 0.902
10 F 0.125 0.042 0.891
11 F 0.141 0.250 0.641
12 F 0.170 0.049 0.436
13 F 0.187 0.750 0.427
14 F 0.211 0.533 0.205
15 F 0.215 0.143 0.217


8.
The following is a SCAN calculation of a PBEsol-optimized structure of KMgAs2F, from Alexandria via LeMat-Bulk.

E_form (uncorrected) ... 1.1337 eV per atom
M_tot ... 1.9 μB per formula unit

Cell: 5.521 5.521 6.322 Å, 90.00 90.00 90.00°
Space group P4/mmm (No. 123)
Symmetry-distinct sites (fractional):
1 K 0.000 0.000 0.000
2 Mg 0.000 0.000 0.500
3 As 0.000 0.500 0.000
4 F 0.500 0.500 0.500


9.
The following is a SCAN calculation of a PBEsol-optimized structure of KAsNF2, from Alexandria via LeMat-Bulk.

E_form (uncorrected) ... 0.3003 eV per atom
M_tot ... 1.0 μB per formula unit

Cell: 4.570 4.570 4.854 Å, 90.00 90.00 90.00°
Space group P4/mmm (No. 123)
Symmetry-distinct sites (fractional):
1 K 0.000 0.000 0.000
2 As 0.500 0.500 0.500
3 N 0.000 0.000 0.500
4 F 0.000 0.500 0.000


10.
The following is a SCAN calculation of a PBEsol-optimized structure of KRb2AsF6, from Alexandria via LeMat-Bulk.

E_form (uncorrected) ... -2.6427 eV per atom
M_tot ... 0.0 μB per formula unit

Cell: 9.062 9.062 9.062 Å, 90.00 90.00 90.00°
Space group Fm-3m (No. 225)
Symmetry-distinct sites (fractional):
1 K 0.000 0.000 0.000
2 Rb 0.250 0.250 0.250
3 As 0.000 0.000 0.500
4 F 0.000 0.000 0.274


11.
The following is a SCAN calculation of a PBEsol-optimized structure of KReAsF2, from Alexandria via LeMat-Bulk.

E_form (uncorrected) ... -0.2551 eV per atom
M_tot ... 3.1 μB per formula unit

Cell: 4.715 4.715 4.710 Å, 90.00 90.00 90.00°
Space group P4/mmm (No. 123)
Symmetry-distinct sites (fractional):
1 K 0.000 0.000 0.000
2 Re 0.500 0.500 0.000
3 As 0.500 0.500 0.500
4 F 0.000 0.500 0.500


12.
The following is a SCAN calculation of a PBEsol-optimized structure of LaAsO2F, from Alexandria via LeMat-Bulk.

E_form (uncorrected) ... -1.5059 eV per atom
M_tot ... 1.0 μB per formula unit

Cell: 4.608 4.608 4.474 Å, 90.00 90.00 90.00°
Space group P4/mmm (No. 123)
Symmetry-distinct sites (fractional):
1 La 0.000 0.000 0.000
2 As 0.500 0.500 0.500
3 O 0.000 0.500 0.000
4 F 0.000 0.000 0.500


13.
The following is a SCAN calculation of a PBEsol-optimized structure of LaAsOF2, from Alexandria via LeMat-Bulk.

E_form (uncorrected) ... -2.1990 eV per atom
M_tot ... 2.0 μB per formula unit

Cell: 4.569 4.569 4.758 Å, 90.00 90.00 90.00°
Space group P4/mmm (No. 123)
Symmetry-distinct sites (fractional):
1 La 0.000 0.000 0.000
2 As 0.500 0.500 0.500
3 O 0.000 0.000 0.500
4 F 0.000 0.500 0.000


14.
The following is a SCAN calculation of a PBEsol-optimized structure of LiAs3F, from Alexandria via LeMat-Bulk.

E_form (uncorrected) ... 0.2937 eV per atom
M_tot ... 0.0 μB per formula unit

Cell: 4.385 4.385 4.385 Å, 90.00 90.00 90.00°
Space group Pm-3m (No. 221)
Symmetry-distinct sites (fractional):
1 Li 0.000 0.000 0.000
2 As 0.000 0.000 0.500
3 F 0.500 0.500 0.500


15.
The following is a SCAN calculation of a PBEsol-optimized structure of LiAs2F, from Alexandria via LeMat-Bulk.

E_form (uncorrected) ... -0.3243 eV per atom
M_tot ... 0.0 μB per formula unit

Cell: 6.086 6.086 6.086 Å, 90.00 90.00 90.00°
Space group Fm-3m (No. 225)
Symmetry-distinct sites (fractional):
1 Li 0.000 0.000 0.000
2 As 0.250 0.250 0.250
3 F 0.000 0.000 0.500


16.
The following is a SCAN calculation of a PBEsol-optimized structure of Li3AsF, from Alexandria via LeMat-Bulk.

E_form (uncorrected) ... -1.5409 eV per atom
M_tot ... 0.0 μB per formula unit

Cell: 3.960 3.960 3.960 Å, 90.00 90.00 90.00°
Space group Pm-3m (No. 221)
Symmetry-distinct sites (fractional):
1 Li 0.000 0.000 0.500
2 As 0.500 0.500 0.500
3 F 0.000 0.000 0.000


17.
The following is a SCAN calculation of a PBEsol-optimized structure of LiAsO2F, from Alexandria via LeMat-Bulk.

E_form (uncorrected) ... -1.4666 eV per atom
M_tot ... 0.0 μB per formula unit

Cell: 3.771 3.771 4.117 Å, 90.00 90.00 90.00°
Space group P4/mmm (No. 123)
Symmetry-distinct sites (fractional):
1 Li 0.000 0.000 0.000
2 As 0.500 0.500 0.500
3 O 0.000 0.500 0.500
4 F 0.500 0.500 0.000


18.
The following is a SCAN calculation of a PBEsol-optimized structure of LiAsO2F, from Alexandria via LeMat-Bulk.

E_form (uncorrected) ... -0.7397 eV per atom
M_tot ... 1.0 μB per formula unit

Cell: 3.655 3.655 3.407 Å, 90.00 90.00 90.00°
Space group P4/mmm (No. 123)
Symmetry-distinct sites (fractional):
1 Li 0.000 0.000 0.000
2 As 0.500 0.500 0.500
3 O 0.000 0.500 0.000
4 F 0.000 0.000 0.500


19.
The following is a SCAN calculation of a PBEsol-optimized structure of MgAs2F, from Alexandria via LeMat-Bulk.

E_form (uncorrected) ... -0.8883 eV per atom
M_tot ... 0.0 μB per formula unit

Cell: 3.563 3.563 21.795 Å, 90.00 90.00 90.00°
Space group I-42d (No. 122)
Symmetry-distinct sites (fractional):
1 Mg 0.000 0.000 0.000
2 As 0.247 0.250 0.125
3 F 0.000 0.000 0.500


20.
The following is a SCAN calculation of a PBEsol-optimized structure of MgAsOF2, from Alexandria via LeMat-Bulk.

E_form (uncorrected) ... -1.8447 eV per atom
M_tot ... 0.9 μB per formula unit

Cell: 3.696 3.696 4.295 Å, 90.00 90.00 90.00°
Space group P4/mmm (No. 123)
Symmetry-distinct sites (fractional):
1 Mg 0.000 0.000 0.000
2 As 0.500 0.500 0.500
3 O 0.000 0.000 0.500
4 F 0.000 0.500 0.000


21.
The following is a SCAN calculation of a PBEsol-optimized structure of MnAsOF2, from Alexandria via LeMat-Bulk.

E_form (uncorrected) ... -1.3264 eV per atom
M_tot ... 3.6 μB per formula unit

Cell: 4.017 4.017 3.817 Å, 90.00 90.00 90.00°
Space group P4/mmm (No. 123)
Symmetry-distinct sites (fractional):
1 Mn 0.000 0.000 0.000
2 As 0.500 0.500 0.500
3 O 0.000 0.000 0.500
4 F 0.000 0.500 0.000